# PBE-GGA Cs4Na4Tl, optimized geometry
# M_tot = 0.0 μB/f.u.
# density of states at the Fermi level = 0.7350 states/eV per atom
# VASP energy = -21.72 eV/cell
data_Cs4Na4Tl
_space_group_name_H-M_alt 'P 42/n'
_space_group_IT_number 86
_cell_length_a 11.813
_cell_length_b 11.813
_cell_length_c 8.648
_cell_angle_alpha 90.00
_cell_angle_beta 90.00
_cell_angle_gamma 90.00
loop_
_space_group_symop_operation_xyz
'x,y,z'
'-x,-y,-z'
'-y,x+1/2,z+1/2'
'y,-x+1/2,-z+1/2'
'-x+1/2,-y+1/2,z'
'x+1/2,y+1/2,-z'
'y+1/2,-x,z+1/2'
'-y+1/2,x,-z+1/2'
loop_
_atom_site_label
_atom_site_type_symbol
_atom_site_fract_x
_atom_site_fract_y
_atom_site_fract_z
Cs1 Cs 0.007 0.813 0.084
Na1 Na 0.026 0.157 0.408
Tl1 Tl 0.250 0.250 0.250